This record from Alexandria via LeMat-Bulk describes an optimized crystal structure of CsPmGeSe3. The functional is GGA-PBE.

Calculated values
As for the theoretical density: 4.6 g/cm³. As for the total magnetization: 0.00 μB per formula unit. The volume is 423.6 Å³ per cell. As for the energy relative to the elements, uncorrected: -1.251 eV per atom.

Unit cell a=9.287 b=4.168 c=11.729 alpha=90.00 beta=111.13 gamma=90.00
Space group P2_1/m (No. 11)
Asymmetric unit:
Cs 0.241 0.250 0.282 [2 per cell]
Pm 0.360 0.750 0.845 [2 per cell]
Ge 0.126 0.250 0.563 [2 per cell]
Se 0.114 0.250 0.771 [2 per cell]
Se 0.315 0.750 0.580 [2 per cell]
Se 0.405 0.750 0.104 [2 per cell]

=====

This record from Alexandria via LeMat-Bulk describes an optimized crystal structure of Rb2TmAsS4. The functional is GGA-PBE.

Calculated values
As for the theoretical density: 3.1 g/cm³. As for the total magnetization: 0.00 μB per formula unit. Its density of states at the Fermi level is 0.000 states/eV per atom. The volume is 2309.0 Å³ per cell. As for the energy relative to the elements, uncorrected: -1.014 eV per atom.

Unit cell a=6.605 b=14.398 c=24.281 alpha=90.00 beta=90.00 gamma=90.00
Space group Fddd (No. 70, origin choice 2)
Asymmetric unit:
Rb 0.125 0.125 0.307 [16 per cell]
Tm 0.125 0.125 0.125 [8 per cell]
As 0.125 0.125 0.625 [8 per cell]
S 0.120 0.277 0.823 [32 per cell]

=====

This record from Alexandria via LeMat-Bulk describes an optimized crystal structure of AcAsRuSe. The functional is GGA-PBE.

Calculated values
As for the theoretical density: 8.5 g/cm³. As for the total magnetization: 0.00 μB per formula unit. Its density of states at the Fermi level is 0.408 states/eV per atom. The volume is 187.8 Å³ per cell. As for the energy relative to the elements, uncorrected: -0.977 eV per atom.

Unit cell a=4.384 b=4.384 c=9.769 alpha=90.00 beta=90.00 gamma=90.00
Space group P4/nmm (No. 129, origin choice 2)
Asymmetric unit:
Ac 0.250 0.250 0.225 [2 per cell]
As 0.250 0.250 0.625 [2 per cell]
Ru 0.250 0.750 0.500 [2 per cell]
Se 0.250 0.750 0.000 [2 per cell]

=====

This record from Alexandria via LeMat-Bulk describes an optimized crystal structure of AcTbNdDy2. The functional is GGA-PBE.

Calculated values
As for the theoretical density: 7.7 g/cm³. Its energy relative to the elements is 1.9 eV per formula unit. As for the total magnetization: 0.00 μB per formula unit. Its density of states at the Fermi level is 1.677 states/eV per atom. The volume is 741.2 Å³ per cell.

Unit cell a=6.561 b=17.479 c=6.463 alpha=90.00 beta=90.00 gamma=90.00
Space group Cmcm (No. 63)
Asymmetric unit:
Ac 0.000 0.158 0.250 [4 per cell]
Tb 0.000 0.274 0.750 [4 per cell]
Nd 0.000 0.347 0.250 [4 per cell]
Dy 0.244 0.500 0.000 [8 per cell]

=====

This record from Alexandria via LeMat-Bulk describes an optimized crystal structure of Tl3In4Bi2. The functional is GGA-PBE.

Calculated values
As for the theoretical density: 9.1 g/cm³. Its energy relative to the elements is 0.1 eV per formula unit. As for the total magnetization: 0.00 μB per formula unit. Its density of states at the Fermi level is 0.343 states/eV per atom. The volume is 543.5 Å³ per cell.

Unit cell a=9.354 b=5.426 c=10.708 alpha=90.00 beta=90.47 gamma=90.00
Space group C2/m (No. 12)
Asymmetric unit:
Tl 0.000 0.000 0.000 [2 per cell]
Tl 0.166 0.500 0.447 [4 per cell]
In 0.000 0.000 0.342 [4 per cell]
In 0.167 0.500 0.116 [4 per cell]
Bi 0.166 0.500 0.796 [4 per cell]

=====

This record from Alexandria via LeMat-Bulk describes an optimized crystal structure of AgPdPt3. The functional is GGA-PBE.

Calculated values
As for the theoretical density: 11.7 g/cm³. The energy above the most stable polymorph in this dataset is 1273.7 meV/atom. Its energy relative to the elements is 6.6 eV per formula unit. As for the total magnetization: 0.36 μB per formula unit. Its density of states at the Fermi level is 1.715 states/eV per atom. The volume is 113.7 Å³ per cell.

Unit cell a=4.845 b=4.845 c=4.845 alpha=90.00 beta=90.00 gamma=90.00
Space group Pm-3m (No. 221)
Asymmetric unit:
Ag 0.000 0.000 0.000 [1 per cell]
Pd 0.500 0.500 0.500 [1 per cell]
Pt 0.000 0.500 0.500 [3 per cell]

=====

This record from Alexandria via LeMat-Bulk describes an optimized crystal structure of CaCoPPd2. The functional is GGA-PBE.

Calculated values
As for the theoretical density: 6.3 g/cm³. Its energy relative to the elements is -2.4 eV per formula unit. As for the total magnetization: 1.37 μB per formula unit. Its density of states at the Fermi level is 0.814 states/eV per atom. The volume is 90.5 Å³ per cell.

Unit cell a=4.617 b=4.617 c=4.247 alpha=90.00 beta=90.00 gamma=90.00
Space group P4/mmm (No. 123)
Asymmetric unit:
Ca 0.000 0.000 0.000 [1 per cell]
Co 0.500 0.500 0.000 [1 per cell]
P 0.500 0.500 0.500 [1 per cell]
Pd 0.000 0.500 0.500 [2 per cell]

=====

This record from Alexandria via LeMat-Bulk describes an optimized crystal structure of Ca12Ac6Nd. The functional is GGA-PBE.

Calculated values
As for the theoretical density: 4.0 g/cm³. Its energy relative to the elements is 2.3 eV per formula unit. As for the total magnetization: 0.00 μB per formula unit. Its density of states at the Fermi level is 1.592 states/eV per atom. The volume is 2482.7 Å³ per cell.

Unit cell a=14.7279 b=14.7279 c=13.2163 alpha=90.00 beta=90.00 gamma=120.00
Space group R-3m (No. 166, hexagonal axes)
Asymmetric unit:
Ca 0.0000 0.2592 0.0000 [18 per cell]
Ca 0.0538 0.5269 0.1241 [18 per cell]
Ac 0.0861 0.1721 0.7620 [18 per cell]
Nd 0.0000 0.0000 0.0000 [3 per cell]